First-principles (PBE) data for a relaxed structure of Li2PrAgCl6, as listed in Alexandria via LeMat-Bulk.

Calculated values
The calculation puts the uncorrected formation energy at -16.92 eV per formula unit. The density of states at the Fermi level comes out at 0.000 states/eV/f.u. For the total moment, the calculation gives 0.00 μB per atom.

abc: 6.7597 6.7610 7.2332
angles: 90.03 117.80 119.93
Closest atoms and distances in Å follow each position.
Space group P1 (No. 1)
Inequivalent atoms, fractional coordinates:
Li1 0.0000 0.0000 0.0000 x1  6 Cl 2.56-2.70
Li2 0.0112 0.5060 0.5160 x1  6 Cl 2.53-2.76
Pr1 0.6058 0.3033 0.9090 x1  6 Cl 2.75-2.81
Ag1 0.5764 0.7886 0.3659 x1  4 Cl 2.67-2.99
Cl1 0.1008 0.3720 0.2194 x1  2 Li 2.57-2.75, 1 Ag 2.68, 1 Pr 2.81
Cl2 0.1058 0.2291 0.7202 x1  2 Li 2.53-2.69, 1 Pr 2.75
Cl3 0.4894 0.1178 0.2193 x1  2 Li 2.56-2.76, 1 Ag 2.67, 1 Pr 2.81
Cl4 0.4912 0.8774 0.7194 x1  2 Li 2.53-2.70, 1 Pr 2.75
Cl5 0.8427 0.6147 0.7198 x1  2 Li 2.53-2.69, 1 Pr 2.75
Cl6 0.8465 0.7296 0.2193 x1  2 Li 2.57-2.75, 1 Ag 2.67, 1 Pr 2.81

=====

First-principles (PBE) data for a relaxed structure of Li2AgPtCl8, as listed in Alexandria via LeMat-Bulk.

Calculated values
The calculation puts the uncorrected formation energy at -10.20 eV per formula unit. The density of states at the Fermi level comes out at 2.852 states/eV/f.u. For the total moment, the calculation gives 0.00 μB per atom.

abc: 6.2569 6.4478 7.7900
angles: 81.91 80.46 75.67
Closest atoms and distances in Å follow each position.
Space group P-1 (No. 2)
Inequivalent atoms, fractional coordinates:
Li1 0.0765 0.0622 0.2429 x2  5 Cl 2.46-2.72
Ag1 0.5000 0.5000 0.5000 x1  4 Cl 2.44-2.58
Pt1 0.5000 0.5000 0.0000 x1  6 Cl 2.34-2.36
Cl1 0.1959 0.8213 0.5004 x2  1 Ag 2.44, 2 Li 2.46-2.48
Cl2 0.2240 0.8251 0.9880 x2  1 Pt 2.36, 1 Li 2.58
Cl3 0.2811 0.3535 0.2388 x2  1 Pt 2.35, 1 Li 2.52
Cl4 0.3312 0.3647 0.8078 x2  1 Pt 2.34, 1 Ag 2.58

=====

First-principles (PBE) data for a relaxed structure of LiAgPtCl6, as listed in Alexandria via LeMat-Bulk.

Calculated values
The calculation puts the uncorrected formation energy at -6.79 eV per formula unit. For the total moment, the calculation gives 0.00 μB per atom.

abc: 6.3385 6.3385 11.7787
angles: 90.00 90.00 120.00
Closest atoms and distances in Å follow each position.
Space group P-31c (No. 163)
Inequivalent atoms, fractional coordinates:
Li1 0.3333 0.6667 0.2500 x2  6 Cl 2.55
Ag1 0.0000 0.0000 0.0000 x2  6 Cl 2.76
Pt1 0.3333 0.6667 0.7500 x2  6 Cl 2.36
Cl1 0.0234 0.3685 0.6344 x12  1 Pt 2.36, 1 Li 2.55

=====

Sequential final energy output: -0.1450 -0.1154 -0.1171 hartree per atom